# NaUFe2O5 (PBE+U, relaxed)
data_NaUFe2O5
_chemical_formula_sum 'Na1 U1 Fe2 O5'
_cell_length_a 4.472
_cell_length_b 5.942
_cell_length_c 6.222
_cell_angle_alpha 118.52
_cell_angle_beta 111.06
_cell_angle_gamma 90.00
_symmetry_space_group_name_H-M 'P 1'
_symmetry_Int_Tables_number 1
loop_
_symmetry_equiv_pos_as_xyz
'x,y,z'
loop_
_atom_site_label
_atom_site_type_symbol
_atom_site_fract_x
_atom_site_fract_y
_atom_site_fract_z
_atom_site_occupancy
Na1 Na 0.000 0.500 0.000 1
O1 O 0.653 0.914 0.307 1
O2 O 0.347 0.607 0.693 1
Fe1 Fe 0.775 0.775 0.551 1
O3 O 0.653 0.393 0.307 1
Fe2 Fe 0.225 0.225 0.449 1
O4 O 0.347 0.086 0.693 1
O5 O 0.000 0.000 0.000 1
U1 U 0.500 0.000 0.000 1
# space group: Immm
# E: -7.373 eV per atom
# theoretical density: 5.671 Mg/m³
# total magnetization: 7.0 μB/f.u.